(one)
Entry from the Alexandria database: GaCI3 after structural relaxation (GGA-PBE).

Properties
SG   No. 221
Magnetization   0.0 μB per formula unit

Cell: 5.220 5.220 5.220 Å, 90.00 90.00 90.00°
Element x y z (fractional)
I (0.500, 0.000, 0.000)
Ga (0.500, 0.500, 0.500)
C (0.000, 0.000, 0.000)
I (0.000, 0.000, 0.500)
I (0.000, 0.500, 0.000)

(two)
Entry from the Alexandria database: GaCI3 after structural relaxation (GGA-PBE).

Properties
SG   No. 221
Magnetization   1.6 μB per formula unit

Cell: 5.657 5.657 5.657 Å, 90.00 90.00 90.00°
Element x y z (fractional)
C (0.500, 0.500, 0.500)
Ga (0.000, 0.000, 0.000)
I (0.500, 0.000, 0.000)
I (0.000, 0.500, 0.000)
I (0.000, 0.000, 0.500)

Most stable: (one) (next structure +0.511 eV/atom)

(one)
Entry from the Alexandria database: GaC3I after structural relaxation (GGA-PBE).

Properties
SG   No. 221
Magnetization   0.8 μB per formula unit

Cell: 4.223 4.223 4.223 Å, 90.00 90.00 90.00°
Element x y z (fractional)
I (0.000, 0.000, 0.000)
C (0.500, 0.000, 0.000)
Ga (0.500, 0.500, 0.500)
C (0.000, 0.500, 0.000)
C (0.000, 0.000, 0.500)

(two)
Entry from the Alexandria database: GaC3I after structural relaxation (GGA-PBE).

Properties
SG   No. 221
Magnetization   0.7 μB per formula unit

Cell: 4.144 4.144 4.144 Å, 90.00 90.00 90.00°
Element x y z (fractional)
C (0.000, 0.000, 0.500)
Ga (0.000, 0.000, 0.000)
C (0.500, 0.000, 0.000)
C (0.000, 0.500, 0.000)
I (0.500, 0.500, 0.500)

Most stable: (two) (next structure +0.460 eV/atom)

(one)
Entry from the Alexandria database: GaCIN2 after structural relaxation (GGA-PBE).

Properties
SG   No. 123
Magnetization   0.8 μB per formula unit

Cell: 3.886 3.886 4.402 Å, 90.00 90.00 90.00°
Element x y z (fractional)
I (0.000, 0.000, 0.500)
N (0.000, 0.500, 0.000)
Ga (0.500, 0.500, 0.500)
C (0.000, 0.000, 0.000)
N (0.500, 0.000, 0.000)

(two)
Entry from the Alexandria database: GaCIN2 after structural relaxation (GGA-PBE).

Properties
SG   No. 123
Magnetization   1.9 μB per formula unit

Cell: 3.692 3.692 8.168 Å, 90.00 90.00 90.00°
Element x y z (fractional)
Ga (0.000, 0.000, 0.000)
N (0.500, 0.000, 0.000)
I (0.000, 0.000, 0.500)
C (0.500, 0.500, 0.500)
N (0.000, 0.500, 0.000)

Most stable: (two) (next structure +0.228 eV/atom)